VASP calculation (GGA-PBEsol) on a geometry-optimized Cd3Sb2 structure.

Output
- electronic total energy (eV per atom) = -2.4317
- size of the total moment (μB/f.u.) = 0.0
- ΔE_f (raw) (meV per atom) = 109

Cell lengths 7.969, 7.969, 7.969 Å; angles 32.06, 32.06, 32.06 degrees
Atoms (fractional coordinates):
Cd  0.000  0.000  0.000
Cd  0.200  0.200  0.200
Cd  0.800  0.800  0.800
Sb  0.404  0.404  0.404
Sb  0.596  0.596  0.596